A geometry-optimized Np2MnB2Ru5 structure, computed with GGA-PBE.

Properties
Magnetization: 16.79 Bohr magnetons per cell
Volume: 283.1 Å³/cell
ΔH_f (0 K): -0.25 eV per atom

a = 9.607 Å, b = 9.607 Å, c = 3.067 Å
α = 90.00°, β = 90.00°, γ = 90.00°
Fractional coordinates of all 20 atoms:
Np  0.178  0.322  0.000
Np  0.322  0.822  0.000
Np  0.678  0.178  0.000
Np  0.822  0.678  0.000
Mn  0.000  0.000  0.000
Mn  0.500  0.500  0.000
B  0.122  0.622  0.000
B  0.378  0.122  0.000
B  0.622  0.878  0.000
B  0.878  0.378  0.000
Ru  0.000  0.500  0.500
Ru  0.070  0.782  0.500
Ru  0.218  0.070  0.500
Ru  0.282  0.570  0.500
Ru  0.430  0.282  0.500
Ru  0.500  0.000  0.500
Ru  0.570  0.718  0.500
Ru  0.718  0.430  0.500
Ru  0.782  0.930  0.500
Ru  0.930  0.218  0.500